Record 1
CsSeF: optimized geometry, PBE-GGA.

Geometry as POSCAR:
```
CsSeF
1.0
4.050 0.000 0.000
-2.025 8.099 0.199
0.000 -3.014 7.860
Cs Se F
2 2 2
direct
0.000 0.000 0.500 Cs
0.000 0.000 0.000 Cs
0.285 0.570 0.568 Se
0.715 0.430 0.432 Se
0.507 0.015 0.253 F
0.493 0.985 0.747 F
```

Summary:
E: -3.671 eV/atom
total magnetic moment: 0.00 μB per formula unit
ΔE to the lowest computed polymorph: 0.174 eV/f.u.
E_form (uncorrected): -1.60 eV per atom
volume: 43.373 Å³ per atom
DOS at the Fermi energy: 0.89 states/eV/cell
space-group type: C2/m (12)
crystal system: monoclinic

Record 2
SrScIn2: optimized geometry, PBE-GGA.

Geometry as POSCAR:
```
SrScIn2
1.0
6.508 0.009 -0.017
3.246 5.640 0.017
-4.346 -3.742 3.077
Sr Sc In
1 1 2
direct
0.239 0.739 0.500 Sr
0.514 0.514 0.000 Sc
0.768 0.268 0.500 In
0.979 0.979 0.000 In
```

Summary:
E_form: -187 meV per atom
E: -3.560 eV/atom
total magnetic moment: 0.00 μB per formula unit
volume: 28.258 Å³ per atom
DOS at the Fermi energy: 4.43 states/eV/cell
space-group type: Imm2 (44)
crystal system: orthorhombic

Record 3
Sr5Ag: optimized geometry, PBE-GGA.

Geometry as POSCAR:
```
Sr5Ag
1.0
4.102 0.000 0.000
0.000 4.102 0.000
0.000 0.000 16.355
Sr Ag
5 1
direct
0.000 0.000 0.886 Sr
0.500 0.500 0.307 Sr
0.000 0.000 0.114 Sr
0.000 0.000 0.500 Sr
0.500 0.500 0.693 Sr
0.500 0.500 0.000 Ag
```

Summary:
E_form: -85 meV per atom
E: -1.962 eV/atom
total magnetic moment: 0.00 μB per formula unit
ΔE to the lowest computed polymorph: 0.000 eV/f.u.
volume: 45.864 Å³ per atom
DOS at the Fermi energy: 5.85 states/eV/cell
space-group type: P4/mmm (123)
crystal system: tetragonal